Record 1
## Sr2LiTl (PBE)

Data for crystalline Sr2LiTl at its relaxed geometry.

Calculated values
polymorph energy (0 for the lowest one): 16 meV per atom
DOS(E_F): 4.276 states/eV/cell
ΔH_f (0 K): -0.23 eV per atom
total moment: 0.00 μB/atom

Cell: 5.788 5.788 4.152 Å, 90.00 90.00 90.00°
Atoms (fractional coordinates):
1 Sr 0.000 0.500 0.000
2 Sr 0.500 0.000 0.000
3 Li 0.000 0.000 0.500
4 Tl 0.500 0.500 0.500



Record 2
## TiAl2Mo (PBE)

Data for crystalline TiAl2Mo at its relaxed geometry.

Calculated values
polymorph energy (0 for the lowest one): 481 meV per atom
DOS(E_F): 3.153 states/eV/cell
ΔH_f (0 K): 0.16 eV per atom
total moment: 0.00 μB/atom

Cell: 5.665 5.665 5.665 Å, 103.17 103.17 122.99°
Atoms (fractional coordinates):
1 Ti 0.000 0.000 0.000
2 Ti 0.750 0.250 0.500
3 Al 0.130 0.125 0.505
4 Al 0.375 0.870 0.995
5 Al 0.620 0.625 0.495
6 Al 0.875 0.380 0.005
7 Mo 0.250 0.750 0.500
8 Mo 0.500 0.500 0.000



Record 3
## Ca2ZnCuN (PBE)

Data for crystalline Ca2ZnCuN at its relaxed geometry.

Calculated values
polymorph energy (0 for the lowest one): 64 meV per atom
DOS(E_F): 3.535 states/eV/cell
total moment: 0.00 μB/atom
formation energy (no corrections): -0.262 eV per atom

Cell: 4.919 4.919 3.956 Å, 90.00 90.00 90.00°
Atoms (fractional coordinates):
1 Ca 0.000 0.500 0.000
2 Ca 0.500 0.000 0.000
3 Zn 0.000 0.000 0.500
4 Cu 0.500 0.500 0.500
5 N 0.000 0.000 0.000



Record 4
## ZrZnRe2 (PBE)

Data for crystalline ZrZnRe2 at its relaxed geometry.

Calculated values
DOS(E_F): 2.544 states/eV/cell
ΔH_f (0 K): 0.07 eV per atom
total moment: 0.00 μB/atom

Cell: 5.359 5.359 5.359 Å, 145.12 130.05 62.36°
Atoms (fractional coordinates):
1 Zr 0.000 0.000 0.000
2 Zn 0.724 0.224 0.500
3 Re 0.257 0.757 0.500
4 Re 0.477 0.477 0.000



Record 5
## CsNa2HgCl6 (PBE)

Data for crystalline CsNa2HgCl6 at its relaxed geometry.

Calculated values
total moment: 0.09 μB/atom
formation energy (no corrections): -1.221 eV per atom

Cell: 10.527 10.527 8.644 Å, 108.28 108.28 104.22°
Atoms (fractional coordinates):
1 Cs 0.102 0.898 0.750
2 Cs 0.898 0.102 0.250
3 Na 0.284 0.477 0.894
4 Na 0.477 0.284 0.394
5 Na 0.523 0.716 0.606
6 Na 0.716 0.523 0.106
7 Hg 0.174 0.826 0.250
8 Hg 0.826 0.174 0.750
9 Cl 0.070 0.214 0.721
10 Cl 0.148 0.660 0.952
11 Cl 0.214 0.070 0.221
12 Cl 0.340 0.852 0.548
13 Cl 0.358 0.442 0.594
14 Cl 0.442 0.358 0.094
15 Cl 0.558 0.642 0.906
16 Cl 0.642 0.558 0.406
17 Cl 0.660 0.148 0.452
18 Cl 0.786 0.930 0.779
19 Cl 0.852 0.340 0.048
20 Cl 0.930 0.786 0.279



Record 6
## Pr3MgZn8 (PBE)

Data for crystalline Pr3MgZn8 at its relaxed geometry.

Calculated values
DOS(E_F): 5.632 states/eV/cell
ΔH_f (0 K): -0.27 eV per atom
total moment: 0.00 μB/atom

Cell: 9.598 9.598 9.598 Å, 33.64 33.64 33.64°
Atoms (fractional coordinates):
1 Pr 0.000 0.000 0.000
2 Pr 0.126 0.126 0.126
3 Pr 0.620 0.620 0.620
4 Mg 0.496 0.496 0.496
5 Zn 0.061 0.562 0.562
6 Zn 0.062 0.062 0.557
7 Zn 0.062 0.557 0.062
8 Zn 0.312 0.312 0.312
9 Zn 0.557 0.062 0.062
10 Zn 0.562 0.061 0.562
11 Zn 0.562 0.562 0.061
12 Zn 0.810 0.810 0.810



Record 7
## Ca2Mg5Cd5 (PBE)

Data for crystalline Ca2Mg5Cd5 at its relaxed geometry.

Calculated values
DOS(E_F): 5.479 states/eV/cell
ΔH_f (0 K): -0.17 eV per atom
total moment: 0.00 μB/atom

Cell: 4.871 6.005 10.255 Å, 90.00 90.00 90.00°
Atoms (fractional coordinates):
1 Ca 0.000 0.000 0.000
2 Ca 0.000 0.500 0.500
3 Mg 0.500 0.000 0.500
4 Mg 0.500 0.249 0.246
5 Mg 0.500 0.249 0.754
6 Mg 0.500 0.751 0.246
7 Mg 0.500 0.751 0.754
8 Cd 0.000 0.000 0.333
9 Cd 0.000 0.000 0.667
10 Cd 0.000 0.500 0.171
11 Cd 0.000 0.500 0.829
12 Cd 0.500 0.500 0.000



Record 8
## YRe2Pd (PBE)

Data for crystalline YRe2Pd at its relaxed geometry.

Calculated values
polymorph energy (0 for the lowest one): 0 meV per atom
DOS(E_F): 8.673 states/eV/cell
ΔH_f (0 K): 0.42 eV per atom
total moment: 0.00 μB/atom

Cell: 10.844 10.844 10.844 Å, 159.61 159.61 28.99°
Atoms (fractional coordinates):
1 Y 0.000 0.000 0.000
2 Y 0.750 0.250 0.500
3 Re 0.176 0.625 0.051
4 Re 0.375 0.426 0.551
5 Re 0.574 0.125 0.949
6 Re 0.875 0.824 0.449
7 Pd 0.250 0.750 0.500
8 Pd 0.500 0.500 0.000